[1]
An optimized crystal structure of Th3TcN6. Source: Alexandria, functional PBE-GGA.

Output
DFT total energy: -9.47 eV/atom
Crystal system: orthorhombic
V: 16.1 Å³ per atom
Space-group type: No. 36

The structure in CIF format:
```
data_Th3TcN6
_symmetry_space_group_name_H-M 'P 1'
_symmetry_Int_Tables_number 1
_cell_length_a 7.618
_cell_length_b 7.618
_cell_length_c 5.720
_cell_angle_alpha 90.00
_cell_angle_beta 90.00
_cell_angle_gamma 103.55
loop_
_symmetry_equiv_pos_as_xyz
'x,y,z'
loop_
_atom_site_label
_atom_site_type_symbol
_atom_site_fract_x
_atom_site_fract_y
_atom_site_fract_z
_atom_site_occupancy
Th1 Th 0.102 0.898 0.500 1
Th2 Th 0.196 0.404 0.525 1
Th3 Th 0.404 0.196 0.025 1
Th4 Th 0.596 0.804 0.525 1
Th5 Th 0.804 0.596 0.025 1
Th6 Th 0.898 0.102 0.000 1
Tc1 Tc 0.306 0.694 0.072 1
Tc2 Tc 0.694 0.306 0.572 1
N1 N 0.088 0.607 0.229 1
N2 N 0.151 0.167 0.266 1
N3 N 0.167 0.151 0.766 1
N4 N 0.290 0.710 0.745 1
N5 N 0.393 0.912 0.229 1
N6 N 0.449 0.551 0.202 1
N7 N 0.551 0.449 0.702 1
N8 N 0.607 0.088 0.729 1
N9 N 0.710 0.290 0.245 1
N10 N 0.833 0.849 0.266 1
N11 N 0.849 0.833 0.766 1
N12 N 0.912 0.393 0.729 1
```

[2]
An optimized crystal structure of Th2Tc2N7. Source: Alexandria, functional PBE-GGA.

Output
DFT total energy: -9.13 eV/atom
Crystal system: monoclinic
V: 16.5 Å³ per atom
Space-group type: No. 12

The structure in CIF format:
```
data_Th2Tc2N7
_symmetry_space_group_name_H-M 'P 1'
_symmetry_Int_Tables_number 1
_cell_length_a 6.136
_cell_length_b 6.136
_cell_length_c 5.078
_cell_angle_alpha 97.62
_cell_angle_beta 97.62
_cell_angle_gamma 103.24
loop_
_symmetry_equiv_pos_as_xyz
'x,y,z'
loop_
_atom_site_label
_atom_site_type_symbol
_atom_site_fract_x
_atom_site_fract_y
_atom_site_fract_z
_atom_site_occupancy
Th1 Th 0.199 0.801 0.000 1
Th2 Th 0.801 0.199 0.000 1
Tc1 Tc 0.277 0.277 0.587 1
Tc2 Tc 0.723 0.723 0.413 1
N1 N 0.099 0.409 0.784 1
N2 N 0.116 0.116 0.262 1
N3 N 0.409 0.099 0.784 1
N4 N 0.500 0.500 0.500 1
N5 N 0.591 0.901 0.216 1
N6 N 0.884 0.884 0.738 1
N7 N 0.901 0.591 0.216 1
```

[3]
An optimized crystal structure of Th3Tc5N12. Source: Alexandria, functional PBE-GGA.

Output
DFT total energy: -9.30 eV/atom
Crystal system: cubic
V: 13.4 Å³ per atom
Space-group type: No. 230

The structure in CIF format:
```
data_Th3Tc5N12
_symmetry_space_group_name_H-M 'P 1'
_symmetry_Int_Tables_number 1
_cell_length_a 11.162
_cell_length_b 11.162
_cell_length_c 11.162
_cell_angle_alpha 109.47
_cell_angle_beta 109.47
_cell_angle_gamma 109.47
loop_
_symmetry_equiv_pos_as_xyz
'x,y,z'
loop_
_atom_site_label
_atom_site_type_symbol
_atom_site_fract_x
_atom_site_fract_y
_atom_site_fract_z
_atom_site_occupancy
Th1 Th 0.125 0.250 0.375 1
Th2 Th 0.125 0.375 0.750 1
Th3 Th 0.250 0.375 0.125 1
Th4 Th 0.250 0.875 0.625 1
Th5 Th 0.375 0.125 0.250 1
Th6 Th 0.375 0.750 0.125 1
Th7 Th 0.625 0.250 0.875 1
Th8 Th 0.625 0.875 0.750 1
Th9 Th 0.750 0.125 0.375 1
Th10 Th 0.750 0.625 0.875 1
Th11 Th 0.875 0.625 0.250 1
Th12 Th 0.875 0.750 0.625 1
Tc1 Tc 0.000 0.000 0.000 1
Tc2 Tc 0.000 0.000 0.500 1
Tc3 Tc 0.000 0.500 0.000 1
Tc4 Tc 0.000 0.500 0.500 1
Tc5 Tc 0.125 0.750 0.875 1
Tc6 Tc 0.125 0.875 0.250 1
Tc7 Tc 0.250 0.125 0.875 1
Tc8 Tc 0.250 0.625 0.375 1
Tc9 Tc 0.375 0.250 0.625 1
Tc10 Tc 0.375 0.625 0.750 1
Tc11 Tc 0.500 0.000 0.000 1
Tc12 Tc 0.500 0.000 0.500 1
Tc13 Tc 0.500 0.500 0.000 1
Tc14 Tc 0.500 0.500 0.500 1
Tc15 Tc 0.625 0.375 0.250 1
Tc16 Tc 0.625 0.750 0.375 1
Tc17 Tc 0.750 0.375 0.625 1
Tc18 Tc 0.750 0.875 0.125 1
Tc19 Tc 0.875 0.125 0.750 1
Tc20 Tc 0.875 0.250 0.125 1
N1 N 0.016 0.198 0.120 1
N2 N 0.016 0.318 0.897 1
N3 N 0.079 0.698 0.682 1
N4 N 0.079 0.880 0.397 1
N5 N 0.103 0.620 0.421 1
N6 N 0.103 0.984 0.682 1
N7 N 0.120 0.016 0.198 1
N8 N 0.120 0.603 0.921 1
N9 N 0.182 0.198 0.579 1
N10 N 0.182 0.484 0.603 1
N11 N 0.198 0.120 0.016 1
N12 N 0.198 0.579 0.182 1
N13 N 0.302 0.318 0.921 1
N14 N 0.302 0.484 0.380 1
N15 N 0.318 0.897 0.016 1
N16 N 0.318 0.921 0.302 1
N17 N 0.380 0.302 0.484 1
N18 N 0.380 0.579 0.897 1
N19 N 0.397 0.079 0.880 1
N20 N 0.397 0.818 0.516 1
N21 N 0.421 0.103 0.620 1
N22 N 0.421 0.818 0.802 1
N23 N 0.484 0.380 0.302 1
N24 N 0.484 0.603 0.182 1
N25 N 0.516 0.397 0.818 1
N26 N 0.516 0.620 0.698 1
N27 N 0.579 0.182 0.198 1
N28 N 0.579 0.897 0.380 1
N29 N 0.603 0.182 0.484 1
N30 N 0.603 0.921 0.120 1
N31 N 0.620 0.421 0.103 1
N32 N 0.620 0.698 0.516 1
N33 N 0.682 0.079 0.698 1
N34 N 0.682 0.103 0.984 1
N35 N 0.698 0.516 0.620 1
N36 N 0.698 0.682 0.079 1
N37 N 0.802 0.421 0.818 1
N38 N 0.802 0.880 0.984 1
N39 N 0.818 0.516 0.397 1
N40 N 0.818 0.802 0.421 1
N41 N 0.880 0.397 0.079 1
N42 N 0.880 0.984 0.802 1
N43 N 0.897 0.016 0.318 1
N44 N 0.897 0.380 0.579 1
N45 N 0.921 0.120 0.603 1
N46 N 0.921 0.302 0.318 1
N47 N 0.984 0.682 0.103 1
N48 N 0.984 0.802 0.880 1
```

[4]
An optimized crystal structure of ThTcN3. Source: Alexandria, functional PBE-GGA.

Output
DFT total energy: -9.00 eV/atom
Crystal system: orthorhombic
V: 14.4 Å³ per atom
Space-group type: No. 57

The structure in CIF format:
```
data_ThTcN3
_symmetry_space_group_name_H-M 'P 1'
_symmetry_Int_Tables_number 1
_cell_length_a 4.082
_cell_length_b 12.673
_cell_length_c 5.573
_cell_angle_alpha 90.00
_cell_angle_beta 90.00
_cell_angle_gamma 90.00
loop_
_symmetry_equiv_pos_as_xyz
'x,y,z'
loop_
_atom_site_label
_atom_site_type_symbol
_atom_site_fract_x
_atom_site_fract_y
_atom_site_fract_z
_atom_site_occupancy
Th1 Th 0.246 0.097 0.250 1
Th2 Th 0.246 0.403 0.750 1
Th3 Th 0.754 0.597 0.250 1
Th4 Th 0.754 0.903 0.750 1
Tc1 Tc 0.340 0.667 0.750 1
Tc2 Tc 0.340 0.833 0.250 1
Tc3 Tc 0.660 0.167 0.750 1
Tc4 Tc 0.660 0.333 0.250 1
N1 N 0.261 0.575 0.506 1
N2 N 0.261 0.575 0.994 1
N3 N 0.261 0.925 0.006 1
N4 N 0.261 0.925 0.494 1
N5 N 0.371 0.250 0.000 1
N6 N 0.371 0.250 0.500 1
N7 N 0.629 0.750 0.000 1
N8 N 0.629 0.750 0.500 1
N9 N 0.739 0.075 0.506 1
N10 N 0.739 0.075 0.994 1
N11 N 0.739 0.425 0.006 1
N12 N 0.739 0.425 0.494 1
```